DFT (PBE) results for KBeCu3 after structural relaxation.

```
5
Lattice="4.433 0.000 0.000 0.000 4.433 0.000 0.000 0.000 4.433" Properties=species:S:1:pos:R:3 pbc="T T T"
Be 0.000 0.000 0.000
K 2.217 2.217 2.217
Cu 0.000 2.217 0.000
Cu 0.000 0.000 2.217
Cu 2.217 0.000 0.000
```

SG	Pm-3m (221)
calculated density	4.6	g/cm3
formation energy	0.464	eV/atom
N(E_F)	0.378	states/eV per atom
crystal system	cubic
E above lowest polymorph	0.00	kJ/mol of atoms
DFT total energy	-0.217	Ry per atom

***

DFT (PBE) results for KBeCuMo2 after structural relaxation.

```
5
Lattice="4.653 0.000 0.000 0.000 5.309 0.000 0.000 0.000 4.653" Properties=species:S:1:pos:R:3 pbc="T T T"
Be 2.327 2.655 2.327
Mo 0.000 0.000 2.327
Mo 2.327 0.000 0.000
K 0.000 2.655 0.000
Cu 0.000 0.000 0.000
```

SG	P4/mmm (123)
calculated density	4.4	g/cm3
formation energy	2.118	eV/atom
N(E_F)	1.040	states/eV per atom
crystal system	tetragonal
DFT total energy	-0.294	Ry per atom

***

DFT (PBE) results for K2BeCuP2 after structural relaxation.

```
12
Lattice="-0.461 -3.954 3.788 -0.467 -3.720 -3.940 10.449 2.632 0.032" Properties=species:S:1:pos:R:3 pbc="T T T"
K 2.761 -1.299 0.900
K 6.761 -3.744 -1.020
K 7.233 0.166 -1.013
K 2.289 -5.209 0.893
Be -0.580 -4.767 -1.061
Be -0.347 -2.907 0.909
Cu -0.350 -2.790 -2.955
Cu -0.117 -0.930 -0.985
P 0.932 -3.052 2.771
P 0.913 -3.069 -0.965
P 8.609 -1.974 0.845
P 8.590 -1.991 -2.892
```

SG	Ibam (72)
calculated density	2.3	g/cm3
formation energy	-0.284	eV/atom
N(E_F)	0.522	states/eV per atom
crystal system	orthorhombic
DFT total energy	-0.276	Ry per atom

***

DFT (PBE) results for KBeCu2Re after structural relaxation.

```
5
Lattice="4.450 0.000 0.000 0.000 4.323 0.000 0.000 0.000 4.450" Properties=species:S:1:pos:R:3 pbc="T T T"
Re 0.000 2.161 0.000
K 2.225 2.161 2.225
Cu 0.000 0.000 2.225
Cu 2.225 0.000 0.000
Be 0.000 0.000 0.000
```

SG	P4/mmm (123)
calculated density	7.0	g/cm3
formation energy	1.037	eV/atom
N(E_F)	0.529	states/eV per atom
crystal system	tetragonal
DFT total energy	-0.298	Ry per atom

***

DFT (PBE) results for KBeCuSe2 after structural relaxation.

```
10
Lattice="-3.868 2.155 -4.482 -4.380 -2.046 2.797 1.593 6.807 1.898" Properties=species:S:1:pos:R:3 pbc="T T T"
K -3.479 2.421 1.899
K -3.177 4.496 -1.687
Be -5.219 -0.457 -0.144
Be -3.029 0.566 -1.542
Cu 0.000 0.000 0.000
Cu -2.190 -1.023 1.398
Se -5.373 5.140 0.922
Se -5.009 1.609 -1.090
Se -1.647 5.307 1.303
Se -1.283 1.776 -0.709
```

SG	Cmme (67)
calculated density	3.8	g/cm3
uncorrected formation energy	-708	meV per atom
N(E_F)	0.000	states/eV per atom
crystal system	orthorhombic
DFT total energy	-0.286	Ry per atom

***

DFT (PBE) results for K2BeCuSi after structural relaxation.

```
5
Lattice="6.145 0.000 0.000 0.000 4.213 0.000 0.000 0.000 6.145" Properties=species:S:1:pos:R:3 pbc="T T T"
Be 0.000 2.106 0.000
K 0.000 0.000 3.072
K 3.072 0.000 0.000
Si 3.072 2.106 3.072
Cu 0.000 0.000 0.000
```

SG	P4/mmm (123)
calculated density	1.9	g/cm3
uncorrected formation energy	843	meV per atom
N(E_F)	0.465	states/eV per atom
crystal system	tetragonal
DFT total energy	-0.165	Ry per atom

***

DFT (PBE) results for KY2BeCu after structural relaxation.

```
5
Lattice="-1.137 -1.717 -5.002 0.418 -4.350 1.398 -5.265 -0.110 1.234" Properties=species:S:1:pos:R:3 pbc="T T T"
Y -2.633 -0.055 0.617
Y -0.568 -0.859 -2.501
Be -2.992 -3.088 -1.185
K 0.000 0.000 0.000
Cu 0.209 -2.175 0.699
```

SG	P4/mmm (123)
calculated density	3.6	g/cm3
formation energy	1.648	eV/atom
N(E_F)	0.895	states/eV per atom
crystal system	tetragonal
DFT total energy	-0.200	Ry per atom

***

DFT (PBE) results for LaBeCu11 after structural relaxation.

```
13
Lattice="-0.410 -4.015 2.609 -2.524 -4.743 -3.686 5.254 -3.635 -0.340" Properties=species:S:1:pos:R:3 pbc="T T T"
La 0.000 0.000 0.000
Be -1.467 -4.379 -0.538
Cu 0.460 -3.098 -0.229
Cu 1.859 -9.295 -1.188
Cu -0.932 -6.394 -1.590
Cu 3.252 -5.999 0.173
Cu 1.619 -6.781 -1.692
Cu 0.700 -5.612 0.275
Cu 2.482 -4.074 -1.505
Cu -0.163 -8.319 0.088
Cu -1.262 -2.371 -1.843
Cu 2.422 -3.825 1.135
Cu 2.627 -1.817 -0.170
```

SG	C2/m (12)
calculated density	8.0	g/cm3
formation energy	-0.076	eV/atom
N(E_F)	0.407	states/eV per atom
crystal system	monoclinic
DFT total energy	-0.309	Ry per atom

***

DFT (PBE) results for LaBeCu2 after structural relaxation.

```
8
Lattice="4.617 0.000 0.000 0.000 4.617 0.000 2.309 2.309 7.564" Properties=species:S:1:pos:R:3 pbc="T T T"
Be 2.309 2.309 0.000
Be 2.309 4.617 3.782
Cu 2.309 1.154 1.891
Cu 2.308 3.463 1.891
Cu 3.463 4.616 5.673
Cu 5.771 4.618 5.673
La 0.000 0.000 0.000
La 4.617 2.309 3.782
```

SG	I4_1/amd (141)
calculated density	5.7	g/cm3
formation energy	0.097	eV/atom
N(E_F)	1.283	states/eV per atom
crystal system	tetragonal
E above lowest polymorph	20.31	kJ/mol of atoms
DFT total energy	-0.302	Ry per atom

***

DFT (PBE) results for LaBeCu3 after structural relaxation.

```
5
Lattice="4.373 0.000 0.000 0.000 4.373 0.000 0.000 0.000 4.373" Properties=species:S:1:pos:R:3 pbc="T T T"
Be 0.000 0.000 0.000
Cu 0.000 2.187 0.000
Cu 0.000 0.000 2.187
Cu 2.187 0.000 0.000
La 2.187 2.187 2.187
```

SG	Pm-3m (221)
calculated density	6.7	g/cm3
formation energy	-0.019	eV/atom
N(E_F)	0.255	states/eV per atom
crystal system	cubic
E above lowest polymorph	1.10	kJ/mol of atoms
DFT total energy	-0.309	Ry per atom

***

DFT (PBE) results for LaBeCu2 after structural relaxation.

```
4
Lattice="0.000 3.301 3.301 3.301 0.000 3.301 3.301 3.301 0.000" Properties=species:S:1:pos:R:3 pbc="T T T"
Be 0.000 0.000 0.000
Cu 1.651 1.651 1.651
Cu 4.952 4.952 4.952
La 3.301 3.301 3.301
```

SG	Fm-3m (225)
calculated density	6.3	g/cm3
formation energy	0.171	eV/atom
N(E_F)	1.428	states/eV per atom
crystal system	cubic
E above lowest polymorph	27.40	kJ/mol of atoms
DFT total energy	-0.297	Ry per atom

***

DFT (PBE) results for LaBe2Cu after structural relaxation.

```
4
Lattice="4.666 -0.016 0.005 -0.138 4.664 -0.005 -1.638 -2.933 3.237" Properties=species:S:1:pos:R:3 pbc="T T T"
Be 4.146 4.256 0.000
Be 2.645 2.715 0.000
Cu 2.646 -0.313 1.621
La 0.244 2.027 1.616
```

SG	Immm (71)
calculated density	5.2	g/cm3
formation energy	0.228	eV/atom
N(E_F)	0.530	states/eV per atom
crystal system	orthorhombic
E above lowest polymorph	28.28	kJ/mol of atoms
DFT total energy	-0.286	Ry per atom

***

DFT (PBE) results for LaBe2Cu after structural relaxation.

```
4
Lattice="-0.572 -1.783 -2.303 2.360 1.089 -1.430 3.981 -4.920 2.822" Properties=species:S:1:pos:R:3 pbc="T T T"
Be 0.346 -0.427 0.245
Be 1.645 -2.033 1.166
Cu 1.889 -1.577 -1.161
La 3.880 -4.037 0.250
```

SG	P4/mmm (123)
calculated density	6.0	g/cm3
formation energy	0.188	eV/atom
N(E_F)	0.585	states/eV per atom
crystal system	tetragonal
E above lowest polymorph	24.44	kJ/mol of atoms
DFT total energy	-0.289	Ry per atom

***

DFT (PBE) results for LaBe2Cu after structural relaxation.

```
4
Lattice="-0.756 -2.893 1.304 4.357 -0.456 1.515 -1.159 2.088 3.959" Properties=species:S:1:pos:R:3 pbc="T T T"
Be 0.000 0.000 0.000
Be 1.801 -1.674 1.410
Cu -0.957 -0.403 2.632
La 1.599 0.816 2.737
```

SG	Pmmm (47)
calculated density	5.2	g/cm3
formation energy	0.612	eV/atom
N(E_F)	0.602	states/eV per atom
crystal system	orthorhombic
E above lowest polymorph	65.33	kJ/mol of atoms
DFT total energy	-0.258	Ry per atom

***

DFT (PBE) results for LaBe2Cu after structural relaxation.

```
4
Lattice="4.487 0.992 -0.490 -1.228 4.428 -0.490 0.249 0.415 3.184" Properties=species:S:1:pos:R:3 pbc="T T T"
Be 0.000 0.000 0.000
Be 1.629 2.710 -0.490
Cu 2.368 0.704 1.347
La -0.489 2.422 1.347
```

SG	C2/m (12)
calculated density	5.3	g/cm3
formation energy	0.642	eV/atom
N(E_F)	0.739	states/eV per atom
crystal system	monoclinic
E above lowest polymorph	68.19	kJ/mol of atoms
DFT total energy	-0.256	Ry per atom

***

DFT (PBE) results for LaBeCu2 after structural relaxation.

```
4
Lattice="-1.030 0.326 -4.518 -4.177 -1.336 -1.532 -3.062 3.173 -1.462" Properties=species:S:1:pos:R:3 pbc="T T T"
Be -4.134 1.081 -3.756
Cu 0.000 0.000 0.000
Cu -2.067 0.540 -1.878
La -6.201 1.621 -5.634
```

SG	F-43m (216)
calculated density	6.4	g/cm3
formation energy	0.210	eV/atom
N(E_F)	0.680	states/eV per atom
crystal system	cubic
E above lowest polymorph	31.17	kJ/mol of atoms
DFT total energy	-0.294	Ry per atom

***

DFT (PBE) results for La4BeCu after structural relaxation.

```
6
Lattice="6.253 0.359 1.011 2.198 1.809 5.670 2.848 -4.216 3.791" Properties=species:S:1:pos:R:3 pbc="T T T"
La 5.338 0.132 6.755
La 7.356 -0.590 4.436
La 5.661 -2.867 5.819
La 4.244 -0.769 3.933
Be 8.475 -1.536 7.853
Cu 0.000 0.000 0.000
```

SG	F-43m (216)
calculated density	5.8	g/cm3
formation energy	0.798	eV/atom
N(E_F)	1.303	states/eV per atom
crystal system	cubic
DFT total energy	-0.279	Ry per atom

***

DFT (PBE) results for LaBeCu2 after structural relaxation.

```
4
Lattice="6.110 0.052 0.104 -2.351 3.742 0.159 1.408 1.655 3.338" Properties=species:S:1:pos:R:3 pbc="T T T"
Be 1.880 1.897 0.132
Cu 0.000 0.000 0.000
Cu 3.759 0.853 1.721
La -0.471 2.698 1.749
```

SG	C2/m (12)
calculated density	6.2	g/cm3
formation energy	0.443	eV/atom
N(E_F)	0.620	states/eV per atom
crystal system	monoclinic
E above lowest polymorph	53.66	kJ/mol of atoms
DFT total energy	-0.277	Ry per atom

***

DFT (PBE) results for LaBe2Cu after structural relaxation.

```
4
Lattice="2.930 0.000 0.000 0.000 2.928 0.000 0.000 0.000 7.048" Properties=species:S:1:pos:R:3 pbc="T T T"
Be 0.000 0.000 0.592
Be 1.465 1.464 1.751
Cu 0.000 0.000 2.905
La 1.465 1.464 5.324
```

SG	P4mm (99)
calculated density	6.1	g/cm3
formation energy	0.228	eV/atom
N(E_F)	0.578	states/eV per atom
crystal system	tetragonal
E above lowest polymorph	28.30	kJ/mol of atoms
DFT total energy	-0.286	Ry per atom

***

DFT (PBE) results for LaBe2Cu after structural relaxation.

```
4
Lattice="4.677 0.000 0.417 0.030 4.677 0.417 -2.055 -2.042 2.873" Properties=species:S:1:pos:R:3 pbc="T T T"
Be 0.429 4.275 0.417
Be 0.075 2.576 1.853
Cu 2.018 2.677 0.417
La 2.514 0.121 1.853
```

SG	C2 (5)
calculated density	5.2	g/cm3
formation energy	0.212	eV/atom
N(E_F)	0.470	states/eV per atom
crystal system	monoclinic
E above lowest polymorph	26.69	kJ/mol of atoms
DFT total energy	-0.287	Ry per atom